## K3ZnH (PBE-GGA)

Data for crystalline K3ZnH at its relaxed geometry.

Lattice parameters (Å, degrees): 5.566 5.566 5.566 90.00 90.00 90.00
Space group Pm-3m (No. 221)
One atom of each set of equivalent atoms:
K 0.000 0.000 0.500
Zn 0.500 0.500 0.500
H 0.000 0.000 0.000

density of states at the Fermi level = 3.953 states/eV/cell
VASP energy = -1.5156 eV per atom
size of the total moment = 0.0 μB/cell
ΔE to the lowest computed polymorph = 0.0 meV per atom